DFT (GGA+U) results for crystalline CaCrAs2O8 at its relaxed geometry.

a = 5.818 Å, b = 5.818 Å, c = 5.818 Å
α = 106.23°, β = 106.23°, γ = 116.18°
Positions (direct):
Ca 0.000 0.000 0.000
Cr 0.750 0.250 0.500
As 0.250 0.750 0.500
As 0.500 0.500 0.000
O 0.052 0.378 0.326
O 0.052 0.726 0.674
O 0.131 0.324 0.807
O 0.274 0.948 0.326
O 0.516 0.324 0.193
O 0.622 0.948 0.674
O 0.676 0.484 0.807
O 0.676 0.869 0.193

Results
**Space group**: I-4m2
**Crystal system**: tetragonal
**E**: -75.525 eV per cell